Record 1
DFT (PBE) results for an optimized crystal structure of BC.

Summary:
- crystal system = trigonal

Unit cell a=2.6117 b=2.6117 c=15.1869 alpha=90.00 beta=90.00 gamma=120.00
With the nearest neighbours (Å) after each atom.
Space group P-3m1 (No. 164)
Unique sites:
B (0.0000, 0.0000, 0.0548)  4 B 1.67-1.83
B (0.0000, 0.0000, 0.3833)  3 C 1.52
B (0.3333, 0.6667, 0.1228)  1 C 1.59
C (0.3333, 0.6667, 0.2272)  1 B 1.59, 3 C 1.59
C (0.3333, 0.6667, 0.6303)  3 B 1.52, 1 C 1.65
C (0.3333, 0.6667, 0.7392)  4 C 1.59-1.65

---

Record 2
DFT (PBE) results for an optimized crystal structure of B7C5.

Summary:
- crystal system = orthorhombic

Unit cell a=3.6706 b=11.3703 c=4.0259 alpha=90.00 beta=90.00 gamma=90.00
With the nearest neighbours (Å) after each atom.
Space group C222 (No. 21)
Unique sites:
B (0.0000, 0.0000, 0.0000)  4 B 1.71
B (0.0000, 0.3231, 0.0000)  2 C 1.65
B (0.2163, 0.0755, 0.6901)  2 C 1.55-1.60, 1 B 1.71
C (0.0000, 0.1771, 0.5000)  2 C 1.54, 2 B 1.60
C (0.0000, 0.5000, 0.5000)  4 B 1.55
C (0.2500, 0.2500, 0.2725)  2 C 1.54, 2 B 1.65

---

Record 3
DFT (PBE) results for an optimized crystal structure of BC.

Summary:
- crystal system = monoclinic

Unit cell a=9.4663 b=2.6144 c=7.3914 alpha=90.00 beta=116.56 gamma=90.00
With the nearest neighbours (Å) after each atom.
Space group Cm (No. 8)
Unique sites:
B (0.0000, 0.0000, 0.0000)  4 C 1.66-1.69
B (0.0150, 0.0000, 0.5198)  1 C 1.53, 2 B 1.67
B (0.2036, 0.5000, 0.8871)  3 C 1.55-1.63
B (0.3163, 0.5000, 0.3343)  1 C 1.61, 1 B 1.76
B (0.3392, 0.0000, 0.1644)  2 C 1.60-1.65
B (0.4239, 0.0000, 0.5620)  1 C 1.57, 2 B 1.67
C (0.0020, 0.5000, 0.1471)  1 C 1.51, 1 B 1.60
C (0.1504, 0.5000, 0.3451)  3 C 1.51-1.58, 1 B 1.61
C (0.1546, 0.0000, 0.4680)  1 B 1.53, 3 C 1.57-1.58
C (0.1638, 0.0000, 0.9663)  4 B 1.55-1.68
C (0.3133, 0.0000, 0.6695)  3 C 1.56-1.57, 1 B 1.57
C (0.3291, 0.5000, 0.7916)  2 C 1.56, 2 B 1.63-1.66

---

Record 4
DFT (PBE) results for an optimized crystal structure of B3C7.

Summary:
- crystal system = orthorhombic

Unit cell a=2.4981 b=2.5302 c=19.8527 alpha=90.00 beta=90.00 gamma=90.00
With the nearest neighbours (Å) after each atom.
Space group Imm2 (No. 44)
Unique sites:
B (0.0000, 0.0000, 0.0000)  4 C 1.64-1.68
B (0.0000, 0.0000, 0.3956)  4 C 1.62-1.67
B (0.0000, 0.5000, 0.6515)  4 C 1.65-1.66
C (0.0000, 0.0000, 0.2060)  2 C 1.53, 2 B 1.65
C (0.0000, 0.0000, 0.5973)  2 C 1.49, 2 B 1.66
C (0.0000, 0.0000, 0.7967)  4 C 1.53-1.57
C (0.0000, 0.5000, 0.0559)  2 C 1.49
C (0.0000, 0.5000, 0.2490)  4 C 1.53-1.57
C (0.0000, 0.5000, 0.4468)  4 B 1.62-1.64
C (0.0000, 0.5000, 0.8397)  2 C 1.53, 2 B 1.67

---

Record 5
DFT (PBE) results for an optimized crystal structure of B7C5.

Summary:
- crystal system = monoclinic

Unit cell a=8.6332 b=2.6502 c=8.2728 alpha=90.00 beta=118.68 gamma=90.00
With the nearest neighbours (Å) after each atom.
Space group Cm (No. 8)
Unique sites:
B (0.0000, 0.0000, 0.0000)  3 C 1.58-1.61
B (0.0157, 0.0000, 0.5237)  3 C 1.64-1.65
B (0.1318, 0.5000, 0.8734)  1 C 1.71, 3 B 1.72-1.87
B (0.1628, 0.5000, 0.3572)  4 C 1.57-1.75
B (0.2030, 0.0000, 0.7632)  1 C 1.78, 4 B 1.82-1.87
B (0.2867, 0.5000, 0.1031)  2 C 1.58, 1 B 1.72
B (0.3376, 0.0000, 0.6486)  3 C 1.57-1.69
C (0.1501, 0.0000, 0.2130)  1 C 1.55, 1 B 1.61
C (0.3327, 0.0000, 0.2204)  2 C 1.47-1.55, 2 B 1.58
C (0.3378, 0.5000, 0.5471)  4 B 1.57-1.64
C (0.4380, 0.0000, 0.8816)  4 B 1.58-1.71
C (0.4984, 0.0000, 0.3970)  1 C 1.47, 3 B 1.60-1.65

---

Record 6
DFT (PBE) results for an optimized crystal structure of BC.

Summary:
- crystal system = monoclinic

Unit cell a=8.2626 b=2.6073 c=8.1544 alpha=90.00 beta=116.51 gamma=90.00
With the nearest neighbours (Å) after each atom.
Space group Cm (No. 8)
Unique sites:
B (0.0000, 0.0000, 0.0000)  3 C 1.62-1.80, 1 B 1.71
B (0.0010, 0.5000, 0.4800)  3 C 1.56-1.60
B (0.1058, 0.0000, 0.7815)  2 C 1.60-1.66
B (0.2383, 0.0000, 0.4149)  3 C 1.63-1.67
B (0.2687, 0.5000, 0.8955)  4 B 1.71-1.82, 1 C 1.87
B (0.3270, 0.5000, 0.1382)  3 C 1.63-1.64, 1 B 1.82
C (0.0979, 0.0000, 0.5818)  3 B 1.56-1.60, 1 C 1.58
C (0.1173, 0.5000, 0.1033)  1 C 1.52, 3 B 1.62-1.63
C (0.1327, 0.5000, 0.2965)  2 C 1.52-1.57, 2 B 1.63
C (0.3083, 0.0000, 0.6408)  3 C 1.57-1.58, 1 B 1.67
C (0.3944, 0.5000, 0.7538)  2 C 1.57, 1 B 1.66
C (0.4302, 0.0000, 0.2619)  1 C 1.57, 3 B 1.60-1.64

---

Record 7
DFT (PBE) results for an optimized crystal structure of BC.

Summary:
- crystal system = monoclinic

Unit cell a=4.3556 b=2.6023 c=7.0420 alpha=90.00 beta=90.57 gamma=90.00
With the nearest neighbours (Å) after each atom.
Space group P2_1/m (No. 11)
Unique sites:
B (0.0698, 0.2500, 0.2635)  1 C 1.58
B (0.3023, 0.7500, 0.3886)  1 C 1.66, 1 B 1.72
B (0.3278, 0.7500, 0.6319)  2 C 1.56, 1 B 1.72
C (0.0806, 0.2500, 0.0397)  3 C 1.55-1.58, 1 B 1.58
C (0.3909, 0.2500, 0.7491)  1 C 1.52, 3 B 1.56-1.66
C (0.4146, 0.2500, 0.9639)  4 C 1.52-1.58

---

Record 8
DFT (PBE) results for an optimized crystal structure of B3C.

Summary:
- crystal system = monoclinic

Unit cell a=8.5402 b=2.6912 c=8.7308 alpha=90.00 beta=117.64 gamma=90.00
With the nearest neighbours (Å) after each atom.
Space group Cm (No. 8)
Unique sites:
B (0.0000, 0.0000, 0.0000)  3 C 1.54-1.59
B (0.0058, 0.0000, 0.3681)  3 B 1.62-1.75
B (0.0295, 0.5000, 0.5190)  7 B 1.71-1.87
B (0.0688, 0.5000, 0.7479)  1 C 1.63
B (0.1508, 0.5000, 0.4091)  5 B 1.69-1.83
B (0.2019, 0.0000, 0.9094)  2 C 1.59-1.66
B (0.2679, 0.5000, 0.6456)  2 C 1.62
B (0.2762, 0.5000, 0.1955)  2 C 1.55
B (0.3607, 0.5000, 0.4384)  2 B 1.62-1.69
C (0.2031, 0.0000, 0.0996)  4 B 1.54-1.66
C (0.3739, 0.0000, 0.7391)  1 C 1.52, 3 B 1.62-1.63
C (0.3939, 0.0000, 0.9218)  1 C 1.52, 3 B 1.59

---

Record 9
DFT (PBE) results for an optimized crystal structure of BC.

Summary:
- crystal system = orthorhombic

Unit cell a=2.4772 b=2.4803 c=21.6150 alpha=90.00 beta=90.00 gamma=90.00
With the nearest neighbours (Å) after each atom.
Space group Imm2 (No. 44)
Unique sites:
B (0.0000, 0.0000, 0.0000)  4 B 1.80-1.82
B (0.0000, 0.0000, 0.2010)  4 C 1.66
B (0.0000, 0.5000, 0.3428)  4 C 1.61-1.69
B (0.0000, 0.5000, 0.5603)  2 C 1.66, 2 B 1.80
B (0.0000, 0.5000, 0.9386)  2 C 1.62
C (0.0000, 0.0000, 0.3904)  4 B 1.61-1.62
C (0.0000, 0.0000, 0.6117)  2 C 1.49, 2 B 1.66
C (0.0000, 0.0000, 0.7897)  2 C 1.49
C (0.0000, 0.5000, 0.1500)  2 C 1.49, 2 B 1.66
C (0.0000, 0.5000, 0.7518)  2 C 1.49, 2 B 1.66

---

Record 10
DFT (PBE) results for an optimized crystal structure of BC.

Summary:
- crystal system = trigonal

Unit cell a=2.6446 b=2.6446 c=34.0168 alpha=90.00 beta=90.00 gamma=120.00
With the nearest neighbours (Å) after each atom.
Space group R3m (No. 160, hexagonal axes)
Unique sites:
B (0.0000, 0.0000, 0.0000)  4 B 1.70-1.74
B (0.0000, 0.0000, 0.0511)  3 C 1.65, 1 B 1.74
B (0.0000, 0.0000, 0.1929)  4 C 1.64-1.75
B (0.0000, 0.0000, 0.5823)  3 C 1.54
B (0.0000, 0.0000, 0.6445)  3 B 1.70
C (0.0000, 0.0000, 0.2442)  3 B 1.54
C (0.0000, 0.0000, 0.4032)  1 C 1.52, 3 B 1.65
C (0.0000, 0.0000, 0.4478)  4 C 1.52-1.62
C (0.0000, 0.0000, 0.7972)  4 C 1.52-1.62
C (0.0000, 0.0000, 0.8420)  1 C 1.52, 3 B 1.64

---

Record 11
DFT (PBE) results for an optimized crystal structure of BC.

Summary:
- crystal system = orthorhombic

Unit cell a=2.6598 b=2.7156 c=11.4277 alpha=90.00 beta=90.00 gamma=90.00
With the nearest neighbours (Å) after each atom.
Space group Pmm2 (No. 25)
Unique sites:
B (0.0000, 0.0000, 0.0000)  2 C 1.52
B (0.0000, 0.0000, 0.3123)  4 C 1.62-1.69
B (0.0000, 0.5000, 0.7281)  4 C 1.60-1.74
B (0.5000, 0.0000, 0.8677)  2 C 1.53
B (0.5000, 0.5000, 0.1489)  4 C 1.65-1.67
B (0.5000, 0.5000, 0.4708)  2 C 1.55
C (0.0000, 0.0000, 0.6331)  2 C 1.52
C (0.0000, 0.5000, 0.0601)  4 B 1.52-1.67
C (0.0000, 0.5000, 0.4005)  4 B 1.55-1.69
C (0.5000, 0.0000, 0.2311)  4 B 1.62-1.65
C (0.5000, 0.0000, 0.5691)  2 C 1.52
C (0.5000, 0.5000, 0.8052)  4 B 1.53-1.60

---

| no. | ΔE_f (kJ/mol of atoms) | ΔE to the lowest computed polymorph (eV per atom) |
| --- | --- | --- |
| 1 | 41 | 0.269 |
| 2 | 39 | 0.239 |
| 3 | 37 | 0.233 |
| 4 | 28 | 0.027 |
| 5 | 41 | 0.258 |
| 6 | 40 | 0.265 |
| 7 | 42 | 0.284 |
| 8 | 30 | 0.071 |
| 9 | 35 | 0.209 |
| 10 | 47 | 0.336 |
| 11 | 37 | 0.233 |